Material: BaRe3Te
Method: DFT, GGA-PBEsol
State: relaxed

Output
Uncorrected formation energy   3.8964 eV per atom

Cell lengths 4.961, 4.961, 4.961 Å; angles 90.00, 90.00, 90.00 degrees
Space group Pm-3m (No. 221)
One atom of each set of equivalent atoms:
Ba: 0.000 0.000 0.000 [1 per cell]
Re: 0.000 0.000 0.500 [3 per cell]
Te: 0.500 0.500 0.500 [1 per cell]